Below is crystalline Tb3Y2Er4 at its relaxed geometry, with properties calculated at the PBE level.

## Properties
Symmetry: No. 15
Magnetization in μB/f.u.: 0.00
ΔH_f (0 K) in meV/atom: 103

Cell and atoms, written as POSCAR:
```
Tb3Y2Er4
1.0
5.655 1.582 1.133
2.008 10.956 0.750
2.008 4.240 10.130
Er Y Tb
8 4 6
Direct
0.923 0.171 0.953
0.423 0.953 0.171
0.413 0.620 0.843
0.077 0.829 0.047
0.087 0.157 0.380
0.913 0.843 0.620
0.587 0.380 0.157
0.577 0.047 0.829
0.926 0.504 0.285
0.426 0.285 0.504
0.074 0.496 0.715
0.574 0.715 0.496
0.750 0.346 0.654
0.754 0.014 0.316
0.254 0.316 0.014
0.246 0.986 0.684
0.746 0.684 0.986
0.250 0.654 0.346
```